Record 1
ScSbF2: relaxed, PBE.

It has space group Fm-3m (No. 225), with a = 6.377 Å, b = 6.377 Å, c = 6.377 Å, α = 90.00°, β = 90.00° and γ = 90.00°. The inequivalent atoms are Sc at (0.000, 0.000, 0.000), Sb at (0.000, 0.000, 0.500) and F at (0.250, 0.250, 0.250).

As for the energy above the lowest structure with this stoichiometry: 3.289 eV/f.u. Its volume is 16.21 Å³/atom. The value obtained for the formation energy (no corrections) is -1.402 eV per atom. The calculation puts the magnetization at 0.0 μB per formula unit.

Record 2
ScAl2Os: relaxed, PBE.

It has space group Immm (No. 71), with a = 3.161 Å, b = 4.661 Å, c = 8.929 Å, α = 90.00°, β = 90.00° and γ = 90.00°. The inequivalent atoms are Sc at (0.000, 0.000, 0.000), Al at (0.000, 0.500, 0.229) and Os at (0.000, 0.000, 0.500).

As for the calculated formation energy: -0.335 eV/atom. Its volume is 16.44 Å³/atom. The calculation puts the magnetization at 0.0 μB per formula unit.

Record 3
SrMg2Co: relaxed, PBE.

It has space group Amm2 (No. 38), with a = 4.354 Å, b = 3.947 Å, c = 12.251 Å, α = 90.00°, β = 90.00° and γ = 90.00°. The inequivalent atoms are Sr at (0.000, 0.000, 0.000), Mg at (0.000, 0.000, 0.720), Mg at (0.500, 0.000, 0.264) and Co at (0.500, 0.000, 0.616).

As for the calculated formation energy: 0.282 eV/atom. Its volume is 26.32 Å³/atom. The calculation puts the magnetization at 0.6 μB per formula unit.

Q: Which formula does entry 3 have?
A: SrMg2Co